No. 1
Entry from Alexandria: a relaxed structure of Zr2CdPd (GGA-PBE).

Results
DFT total energy: -6.11 eV/atom
calculated formation energy: -0.304 eV per atom
DOS at the Fermi energy: 4.6 states/eV/cell

The structure in POSCAR format:
```
Zr2CdPd
1.0
-1.6472 2.2263 1.8691
-2.9054 -1.3287 -0.9779
0.2006 -4.6113 5.6692
Zr Pd Cd
2 1 1
Direct
0.0000 0.0000 0.7712
0.0000 0.0000 0.2288
0.5000 0.5000 0.0000
0.5000 0.5000 0.5000
```

=====

No. 2
Entry from Alexandria: a relaxed structure of Zr2CdPd4 (GGA-PBE).

Results
DFT total energy: -6.14 eV/atom
E above lowest polymorph: 0.000 eV per atom
calculated formation energy: -0.601 eV per atom
DOS at the Fermi energy: 6.9 states/eV/cell

The structure in POSCAR format:
```
Zr2CdPd4
1.0
5.7234 -0.5172 -0.1290
-0.7755 6.8479 -0.1092
-2.5602 -3.2226 6.5733
Zr Cd Pd
4 2 8
Direct
0.4471 0.4578 0.6224
0.7614 0.8153 0.4663
0.7890 0.2964 0.1553
0.1674 0.5927 0.0005
0.2433 0.7703 0.4539
0.9549 0.9291 0.9167
0.0369 0.0711 0.3343
0.3557 0.3871 0.2240
0.9201 0.4914 0.5792
0.7127 0.1969 0.7490
0.5146 0.0466 0.2982
0.2325 0.2025 0.7777
0.4160 0.8678 0.8682
0.6984 0.6251 0.0544
```

=====

No. 3
Entry from Alexandria: a relaxed structure of Zr12Cd3Pd (GGA-PBE).

Results
DFT total energy: -7.01 eV/atom
calculated formation energy: -0.102 eV per atom
DOS at the Fermi energy: 22.0 states/eV/cell

The structure in POSCAR format:
```
Zr12Cd3Pd
1.0
4.4436 0.0000 0.0000
0.0000 4.4436 0.0000
0.0000 0.0000 17.6929
Zr Cd Pd
12 3 1
Direct
0.5000 0.5000 0.0000
0.5000 0.5000 0.2447
0.5000 0.5000 0.5000
0.5000 0.5000 0.7553
0.5000 0.0000 0.1200
0.5000 0.0000 0.3736
0.5000 0.0000 0.6264
0.5000 0.0000 0.8800
0.0000 0.5000 0.1200
0.0000 0.5000 0.3736
0.0000 0.5000 0.6264
0.0000 0.5000 0.8800
0.0000 0.0000 0.2470
0.0000 0.0000 0.5000
0.0000 0.0000 0.7530
0.0000 0.0000 0.0000
```